(1)
Compound: Rb3Ag4S4
Source: Alexandria
Functional: PBE-GGA
Structure: optimized geometry

Output
* density of states at the Fermi level: 12.097 states/eV/cell
* uncorrected formation energy: -473 meV/atom
* crystal system: cubic

Cell: 8.2656 8.2656 8.2656 Å, 90.00 90.00 90.00°
Last column: nearest neighbours and their distance in Å.
Space group I-43m (No. 217)
Unique sites:
Rb  0.0000  0.0000  0.5000 (multiplicity 6)  4 S 3.38, 4 Ag 3.39
Ag  0.1411  0.1411  0.8589 (multiplicity 8)  4 S 2.58-2.68
S  0.1788  0.1788  0.1788 (multiplicity 8)  4 Ag 2.58-2.68

(2)
Compound: BaBeP2
Source: Alexandria
Functional: PBE-GGA
Structure: optimized geometry

Output
* density of states at the Fermi level: 1.570 states/eV/cell
* polymorph energy (0 for the lowest one): 382 kJ/mol of formula units
* ΔH_f (0 K): 1.59 eV/f.u.
* crystal system: tetragonal

Cell: 4.4969 4.4969 4.2891 Å, 90.00 90.00 90.00°
Last column: nearest neighbours and their distance in Å.
Space group P4/mmm (No. 123)
Unique sites:
Ba  0.0000  0.0000  0.0000 (multiplicity 1)  8 P 3.11, 4 Be 3.18
Be  0.5000  0.5000  0.0000 (multiplicity 1)  8 P 3.11, 4 Ba 3.18
P  0.0000  0.5000  0.5000 (multiplicity 2)  4 Ba 3.11, 4 Be 3.11, 4 P 3.18

(3)
Compound: Re3SbO
Source: Alexandria
Functional: PBE-GGA
Structure: optimized geometry

Output
* density of states at the Fermi level: 9.816 states/eV/cell
* polymorph energy (0 for the lowest one): 1238 kJ/mol of formula units
* uncorrected formation energy: 3369 meV/atom
* crystal system: cubic

Cell: 4.8885 4.8885 4.8885 Å, 90.00 90.00 90.00°
Last column: nearest neighbours and their distance in Å.
Space group Pm-3m (No. 221)
Unique sites:
Re  0.0000  0.0000  0.5000 (multiplicity 3)  2 Sb 2.44
Sb  0.0000  0.0000  0.0000 (multiplicity 1)  6 Re 2.44
O  0.5000  0.5000  0.5000 (multiplicity 1)  12 Re 3.46

(4)
Compound: PrAl4In
Source: Alexandria
Functional: PBE-GGA
Structure: optimized geometry

Output
* density of states at the Fermi level: 20.959 states/eV/cell
* ΔH_f (0 K): -1.01 eV/f.u.
* crystal system: cubic

Cell: 8.0059 8.0059 8.0059 Å, 90.00 90.00 90.00°
Last column: nearest neighbours and their distance in Å.
Space group F-43m (No. 216)
Unique sites:
Pr  0.0000  0.0000  0.0000 (multiplicity 4)  12 Al 3.32, 4 In 3.47
Al  0.1251  0.1251  0.3749 (multiplicity 16)  6 Al 2.83
In  0.2500  0.2500  0.7500 (multiplicity 4)  12 Al 3.32, 4 Pr 3.47

(5)
Compound: TaTlCl4
Source: Alexandria
Functional: PBE-GGA
Structure: optimized geometry

Output
* density of states at the Fermi level: 22.083 states/eV/cell
* polymorph energy (0 for the lowest one): 997 kJ/mol of formula units
* uncorrected formation energy: 790 meV/atom
* crystal system: cubic

Cell: 8.3107 8.3107 8.3107 Å, 90.00 90.00 90.00°
Last column: nearest neighbours and their distance in Å.
Space group F-43m (No. 216)
Unique sites:
Ta  0.0000  0.0000  0.0000 (multiplicity 4)  12 Cl 3.44, 4 Tl 3.60
Tl  0.2500  0.2500  0.7500 (multiplicity 4)  12 Cl 3.45, 4 Ta 3.60
Cl  0.1263  0.1263  0.3737 (multiplicity 16)  6 Cl 2.91-2.97

Number 1: raw total energy -3.275 eV per atom. Number 2: raw total energy -3.720 eV per atom. Number 3: raw total energy -5.916 eV per atom. Number 4: raw total energy -3.917 eV per atom. Number 5: raw total energy -2.811 eV per atom.